Entry a
A geometry-optimized SrAsH structure, computed with PBE.

Cell lengths 4.7787, 4.7787, 4.3818 Å; angles 56.96, 56.96, 60.00 degrees
With the nearest neighbours (Å) after each atom.
Fractional positions:
Sr  0.8607  0.6062  0.6884  3 H 2.76
As  0.3601  0.1056  0.1901  1 H 1.57
H  0.5136  0.2592  0.7293  1 As 1.57

***

Entry b
A geometry-optimized SrAsH structure, computed with PBE.

Cell lengths 4.4840, 4.4840, 4.7917 Å; angles 117.90, 117.90, 90.00 degrees
With the nearest neighbours (Å) after each atom.
Fractional positions:
Sr  0.9278  0.9278  0.8556  1 H 2.58
As  0.3536  0.3536  0.7073  1 H 1.54
H  0.5686  0.5686  0.1371  1 As 1.54

***

Entry c
A geometry-optimized SrAsH structure, computed with PBE.

Cell lengths 6.4998, 6.4627, 6.5868 Å; angles 90.00, 90.00, 90.00 degrees
With the nearest neighbours (Å) after each atom.
Fractional positions:
Sr  0.7559  0.2500  0.4893  2 H 2.51
Sr  0.7441  0.7500  0.9893  2 H 2.51
Sr  0.2441  0.7500  0.5107  2 H 2.51
Sr  0.2559  0.2500  0.0107  2 H 2.51
As  0.2481  0.2500  0.4895  1 H 1.56
As  0.2519  0.7500  0.9895  1 H 1.56
As  0.7519  0.7500  0.5105  1 H 1.56
As  0.7481  0.2500  0.0105  1 H 1.56
H  0.9117  0.2500  0.8374  1 As 1.56
H  0.5883  0.7500  0.3374  1 As 1.56
H  0.0883  0.7500  0.1626  1 As 1.56
H  0.4117  0.2500  0.6626  1 As 1.56

density of states at the Fermi level = 0.0 states/eV per cell

***

Which structure is the most stable? The one labeled entry a.